one) TiVI2O: relaxed, PBE+U.

The structure in POSCAR format:
```
TiVI2O
1.0
5.708 0.000 0.000
0.000 5.708 0.000
0.000 0.000 3.755
Ti V I O
1 1 2 1
Direct
0.000 0.000 0.000
0.500 0.500 0.500
0.000 0.500 0.000
0.500 0.000 0.000
0.000 0.000 0.500
```

Space group   P4/mmm (123)
Crystal system   tetragonal

two) TiVI2O: relaxed, PBE+U.

The structure in POSCAR format:
```
TiVI2O
1.0
5.705 0.000 0.000
0.000 5.705 0.000
0.000 0.000 3.704
Ti V I O
1 1 2 1
Direct
0.000 0.000 0.000
0.500 0.500 0.500
0.000 0.500 0.500
0.500 0.000 0.500
0.500 0.500 0.000
```

Space group   P4/mmm (123)
Crystal system   tetragonal

Stability summary: most stable one), least stable two).

one) TiWI2O: relaxed, PBE+U.

The structure in POSCAR format:
```
TiWI2O
1.0
5.950 0.000 0.000
0.000 5.950 0.000
0.000 0.000 3.879
Ti W I O
1 1 2 1
Direct
0.000 0.000 0.000
0.500 0.500 0.500
0.000 0.500 0.500
0.500 0.000 0.500
0.500 0.500 0.000
```

Space group   P4/mmm (123)
Crystal system   tetragonal

two) TiWI2O: relaxed, PBE+U.

The structure in POSCAR format:
```
TiWI2O
1.0
5.824 0.000 0.000
0.000 5.824 0.000
0.000 0.000 3.748
Ti W I O
1 1 2 1
Direct
0.000 0.000 0.000
0.500 0.500 0.500
0.000 0.500 0.000
0.500 0.000 0.000
0.000 0.000 0.500
```

Space group   P4/mmm (123)
Crystal system   tetragonal

Stability summary: most stable two), least stable one).